[1]
Cs2AgH6Rh: relaxed, GGA-PBE.

V = 18.1 Å³ per atom
Symmetry = P-3m1, No. 164
Total magnetic moment = 0.00 μB per formula unit
Raw total energy = -34.532 eV per cell

Unit cell a=5.3436 b=6.2571 c=6.2571 alpha=120.00 beta=90.00 gamma=90.00
Sites, in units of the cell vectors:
Cs 0.2500 0.3333 0.6667
Cs 0.7500 0.6667 0.3333
Ag 0.5000 0.0000 0.0000
H 0.8190 0.1277 0.2554
H 0.8190 0.1277 0.8723
H 0.8190 0.7446 0.8723
H 0.1810 0.8723 0.1277
H 0.1810 0.2554 0.1277
H 0.1810 0.8723 0.7446
Rh 0.0000 0.0000 0.0000



[2]
Cs2AgHSe2: relaxed, GGA-PBE.

V = 29.5 Å³ per atom
Symmetry = Ibam, No. 72
Total magnetic moment = 0.00 μB per formula unit
Raw total energy = -33.245 eV per cell

Unit cell a=6.5141 b=6.9417 c=9.1552 alpha=112.28 beta=110.84 gamma=90.00
Sites, in units of the cell vectors:
Cs 0.6610 0.9313 0.3220
Cs 0.1610 0.3907 0.3220
Cs 0.8390 0.6093 0.6780
Cs 0.3390 0.0687 0.6780
Ag 0.7500 0.5000 0.0000
Ag 0.2500 0.5000 0.0000
H 0.2500 0.0000 0.0000
H 0.7500 0.0000 0.0000
Se 0.4249 0.7032 0.8497
Se 0.5751 0.2968 0.1503
Se 0.0751 0.8535 0.1503
Se 0.9249 0.1465 0.8497



[3]
Cs2SiAgH6: relaxed, GGA-PBE.

V = 15.5 Å³ per atom
Symmetry = Cm, No. 8
Total magnetic moment = 0.00 μB per formula unit
Raw total energy = -30.656 eV per cell

Unit cell a=5.9376 b=5.9376 c=6.0741 alpha=119.32 beta=119.32 gamma=89.91
Sites, in units of the cell vectors:
Cs 0.7498 0.2506 0.5000
Cs 0.2501 0.7503 0.5000
Si 0.9999 0.0004 0.9996
Ag 0.4999 0.5003 0.0008
H 0.8034 0.8039 0.9993
H 0.8135 0.8140 0.6263
H 0.1965 0.1970 0.9999
H 0.8030 0.1973 0.9996
H 0.1861 0.1866 0.3726
H 0.1968 0.8035 0.9996



[4]
Cs2AgSnH6: relaxed, GGA-PBE.

V = 16.2 Å³ per atom
Symmetry = I4/mmm, No. 139
Total magnetic moment = 0.00 μB per formula unit
Raw total energy = -28.232 eV per cell

Unit cell a=6.0147 b=6.0147 c=6.1766 alpha=60.88 beta=60.88 gamma=90.01
Sites, in units of the cell vectors:
Cs 0.7500 0.2499 0.5001
Cs 0.2500 0.7501 0.5000
Ag 0.5000 0.5000 0.0000
Sn 0.0000 0.0000 0.0000
H 0.2231 0.2231 0.5538
H 0.7594 0.7594 0.9998
H 0.2406 0.7594 0.0000
H 0.7594 0.2406 0.0000
H 0.2406 0.2406 0.0002
H 0.7769 0.7769 0.4462



What is the total magnetic moment in the third record?
0.00 μB per formula unit